[1]
# Pu2NiH6

Pu2NiH6 after structural relaxation (PBE, Alexandria via LeMat-Bulk).

It has space group I4/mmm (No. 139), with a = 3.535 Å, b = 3.535 Å, c = 13.264 Å, α = 90.00°, β = 90.00° and γ = 90.00°. The asymmetric unit holds Pu at (0.000, 0.000, 0.142), Ni at (0.000, 0.000, 0.500), H at (0.000, 0.000, 0.375), H at (0.000, 0.500, 0.000) and H at (0.000, 0.500, 0.250).

As for the total magnetization: 11.19 μB/f.u. The energy comes out at -6.43 eV per atom.

***

[2]
# Sr3Pr2ThTe6

Sr3Pr2ThTe6 after structural relaxation (PBE, Alexandria via LeMat-Bulk).

It has space group C2/m (No. 12), with a = 20.292 Å, b = 4.539 Å, c = 9.359 Å, α = 90.00°, β = 105.58° and γ = 90.00°. The asymmetric unit holds Sr at (0.000, 0.000, 0.000), Sr at (0.168, 0.500, 0.331), Pr at (0.165, 0.500, 0.829), Th at (0.000, 0.000, 0.500), Te at (0.000, 0.500, 0.257), Te at (0.164, 0.000, 0.583) and Te at (0.169, 0.000, 0.077).

As for the total magnetization: 0.00 μB/f.u. As for the uncorrected formation energy: -1.470 eV per atom. The energy comes out at -4.88 eV per atom.

***

[3]
# RbLiNi2

RbLiNi2 after structural relaxation (PBE, Alexandria via LeMat-Bulk).

It has space group I4_1/amd (No. 141, origin choice 2), with a = 4.698 Å, b = 4.698 Å, c = 17.700 Å, α = 90.00°, β = 90.00° and γ = 90.00°. The asymmetric unit holds Rb at (0.000, 0.250, 0.375), Li at (0.000, 0.250, 0.875) and Ni at (0.000, 0.000, 0.000).

The calculation puts the energy above the most stable polymorph in this dataset at 0 meV/atom. As for the total magnetization: 0.96 μB/f.u. The energy comes out at -2.96 eV per atom. The value obtained for the energy relative to the elements is 0.655 eV/atom.

***

[4]
# PSe2NCl

PSe2NCl after structural relaxation (PBE, Alexandria via LeMat-Bulk).

It has space group P4/mmm (No. 123), with a = 5.159 Å, b = 5.159 Å, c = 3.448 Å, α = 90.00°, β = 90.00° and γ = 90.00°. The asymmetric unit holds P at (0.000, 0.000, 0.000), Se at (0.000, 0.500, 0.500), N at (0.500, 0.500, 0.000) and Cl at (0.500, 0.500, 0.500).

The calculation puts the energy above the most stable polymorph in this dataset at 1043 meV/atom. As for the total magnetization: 0.00 μB/f.u. As for the uncorrected formation energy: 1.754 eV per atom. The energy comes out at -2.76 eV per atom.

***

[5]
# MnTeS

MnTeS after structural relaxation (PBE, Alexandria via LeMat-Bulk).

It has space group C2/m (No. 12), with a = 12.590 Å, b = 3.156 Å, c = 8.824 Å, α = 90.00°, β = 120.86° and γ = 90.00°. The asymmetric unit holds Mn at (0.180, 0.000, 0.370), Te at (0.009, 0.500, 0.829) and S at (0.195, 0.000, 0.631).

The calculation puts the energy above the most stable polymorph in this dataset at 78 meV/atom. As for the total magnetization: 1.51 μB/f.u. As for the uncorrected formation energy: -0.304 eV per atom. The energy comes out at -5.78 eV per atom.

***

[6]
# AcPr4Ho4

AcPr4Ho4 after structural relaxation (PBE, Alexandria via LeMat-Bulk).

It has space group I4/mmm (No. 139), with a = 11.009 Å, b = 11.009 Å, c = 5.168 Å, α = 90.00°, β = 90.00° and γ = 90.00°. The asymmetric unit holds Ac at (0.000, 0.000, 0.000), Pr at (0.171, 0.171, 0.500) and Ho at (0.000, 0.340, 0.000).

As for the total magnetization: 0.00 μB/f.u. The energy comes out at -4.58 eV per atom. The value obtained for the energy relative to the elements is 0.034 eV/atom.

***

[7]
# Pm12C5F3

Pm12C5F3 after structural relaxation (PBE, Alexandria via LeMat-Bulk).

It has space group Ia-3d (No. 230), with a = 15.653 Å, b = 15.653 Å, c = 15.653 Å, α = 90.00°, β = 90.00° and γ = 90.00°. The asymmetric unit holds Pm at (0.029, 0.056, 0.650), C at (0.000, 0.000, 0.000), C at (0.000, 0.250, 0.375) and F at (0.000, 0.250, 0.125).

As for the total magnetization: 0.01 μB/f.u. As for the uncorrected formation energy: -0.444 eV per atom. The energy comes out at -5.88 eV per atom.

***

[8]
# Sc2Tc2Ge

Sc2Tc2Ge after structural relaxation (PBE, Alexandria via LeMat-Bulk).

It has space group P4/mbm (No. 127), with a = 6.498 Å, b = 6.498 Å, c = 4.338 Å, α = 90.00°, β = 90.00° and γ = 90.00°. The asymmetric unit holds Sc at (0.174, 0.326, 0.000), Tc at (0.131, 0.631, 0.500) and Ge at (0.000, 0.000, 0.500).

As for the total magnetization: 0.00 μB/f.u. The energy comes out at -7.92 eV per atom. The value obtained for the energy relative to the elements is -0.320 eV/atom.